Record 1
DFT (GGA-PBE) results for a geometry-optimized LaCeSiPd structure.

Unit cell a=7.311 b=7.311 c=7.311 alpha=90.00 beta=90.00 gamma=90.00
Fractional coordinates of all 16 atoms:
1 La 0.000 0.000 0.000
2 La 0.000 0.500 0.500
3 La 0.500 0.000 0.500
4 La 0.500 0.500 0.000
5 Ce 0.000 0.000 0.500
6 Ce 0.000 0.500 0.000
7 Ce 0.500 0.000 0.000
8 Ce 0.500 0.500 0.500
9 Si 0.250 0.250 0.250
10 Si 0.250 0.750 0.750
11 Si 0.750 0.250 0.750
12 Si 0.750 0.750 0.250
13 Pd 0.250 0.250 0.750
14 Pd 0.250 0.750 0.250
15 Pd 0.750 0.250 0.250
16 Pd 0.750 0.750 0.750

Computed properties:
Volume (Å³/atom): 24.4
Raw formation energy (eV/atom): -0.5572

Record 2
DFT (GGA-PBE) results for a geometry-optimized LaCeTlPd structure.

Unit cell a=7.603 b=7.603 c=7.603 alpha=90.00 beta=90.00 gamma=90.00
Fractional coordinates of all 16 atoms:
1 La 0.000 0.000 0.000
2 La 0.000 0.500 0.500
3 La 0.500 0.000 0.500
4 La 0.500 0.500 0.000
5 Ce 0.000 0.000 0.500
6 Ce 0.000 0.500 0.000
7 Ce 0.500 0.000 0.000
8 Ce 0.500 0.500 0.500
9 Tl 0.250 0.250 0.250
10 Tl 0.250 0.750 0.750
11 Tl 0.750 0.250 0.750
12 Tl 0.750 0.750 0.250
13 Pd 0.250 0.250 0.750
14 Pd 0.250 0.750 0.250
15 Pd 0.750 0.250 0.250
16 Pd 0.750 0.750 0.750

Computed properties:
Energy relative to the elements (eV/atom): -0.39
Volume (Å³/atom): 27.5

Record 3
DFT (GGA-PBE) results for a geometry-optimized LaCePm2 structure.

Unit cell a=3.524 b=3.524 c=37.531 alpha=90.00 beta=90.00 gamma=120.00
Fractional coordinates of all 12 atoms:
1 La 0.000 0.000 0.000
2 La 0.333 0.667 0.667
3 La 0.667 0.333 0.333
4 Ce 0.000 0.000 0.500
5 Ce 0.333 0.667 0.167
6 Ce 0.667 0.333 0.833
7 Pm 0.000 0.000 0.092
8 Pm 0.000 0.000 0.908
9 Pm 0.333 0.667 0.575
10 Pm 0.333 0.667 0.759
11 Pm 0.667 0.333 0.241
12 Pm 0.667 0.333 0.425

Computed properties:
Polymorph energy (0 for the lowest one) (eV/f.u.): 0.35
Energy relative to the elements (eV/atom): 0.15
Volume (Å³/atom): 33.6

Record 4
DFT (GGA-PBE) results for a geometry-optimized La4CePm8 structure.

Unit cell a=7.882 b=7.882 c=7.882 alpha=97.91 beta=97.91 gamma=97.91
Fractional coordinates of all 13 atoms:
1 La 0.000 0.000 0.000
2 La 0.000 0.500 0.500
3 La 0.500 0.000 0.500
4 La 0.500 0.500 0.000
5 Ce 0.500 0.500 0.500
6 Pm 0.164 0.164 0.669
7 Pm 0.164 0.669 0.164
8 Pm 0.244 0.244 0.244
9 Pm 0.331 0.836 0.836
10 Pm 0.669 0.164 0.164
11 Pm 0.756 0.756 0.756
12 Pm 0.836 0.331 0.836
13 Pm 0.836 0.836 0.331

Computed properties:
Energy relative to the elements (eV/atom): 0.38
Volume (Å³/atom): 36.5

Number 1: DOS at the Fermi energy 9.02 states/eV/f.u.. Number 2: DOS at the Fermi energy 9.79 states/eV/f.u.. Number 3: DOS at the Fermi energy 6.93 states/eV/f.u.. Number 4: DOS at the Fermi energy 28.79 states/eV/f.u..